# 1
# PBE-GGA ScCu2C2, optimized geometry
# - total magnetic moment (μB per atom) = 0.0581
# - formation energy (eV/atom) = 0.946
# - Fermi-level density of states (states/eV per cell) = 4.85
# - polymorph energy (0 for the lowest one) (eV per atom) = 0.7766
# - SG = P4/mbm
# - total DFT energy (no corrections) (eV per atom) = -5.649
data_ScCu2C2
_chemical_formula_sum 'Sc2 Cu4 C4'
_cell_length_a 6.206
_cell_length_b 6.206
_cell_length_c 2.856
_cell_angle_alpha 90.00
_cell_angle_beta 90.00
_cell_angle_gamma 90.00
_space_group_name_H-M_alt 'P 1'
_space_group_IT_number 1
loop_
_space_group_symop_operation_xyz
'x,y,z'
loop_
_atom_site_label
_atom_site_type_symbol
_atom_site_fract_x
_atom_site_fract_y
_atom_site_fract_z
_atom_site_occupancy
Sc1 Sc 0.000 0.000 0.000 1
Sc2 Sc 0.500 0.500 0.000 1
Cu1 Cu 0.139 0.361 0.500 1
Cu2 Cu 0.361 0.861 0.500 1
Cu3 Cu 0.639 0.139 0.500 1
Cu4 Cu 0.861 0.639 0.500 1
C1 C 0.166 0.666 0.000 1
C2 C 0.334 0.166 0.000 1
C3 C 0.666 0.834 0.000 1
C4 C 0.834 0.334 0.000 1


# 2
# PBE-GGA PmEr2Bi3, optimized geometry
# - total magnetic moment (μB per atom) = 0.0000
# - formation energy (eV/atom) = -0.850
# - Fermi-level density of states (states/eV per cell) = 1.26
# - SG = Immm
# - total DFT energy (no corrections) (eV per atom) = -5.103
data_PmEr2Bi3
_chemical_formula_sum 'Pm1 Er2 Bi3'
_cell_length_a 7.780
_cell_length_b 7.780
_cell_length_c 7.780
_cell_angle_alpha 146.44
_cell_angle_beta 131.78
_cell_angle_gamma 60.03
_space_group_name_H-M_alt 'P 1'
_space_group_IT_number 1
loop_
_space_group_symop_operation_xyz
'x,y,z'
loop_
_atom_site_label
_atom_site_type_symbol
_atom_site_fract_x
_atom_site_fract_y
_atom_site_fract_z
_atom_site_occupancy
Pm1 Pm 0.000 0.000 0.000 1
Er1 Er 0.335 0.335 0.000 1
Er2 Er 0.665 0.665 0.000 1
Bi1 Bi 0.172 0.672 0.500 1
Bi2 Bi 0.500 0.000 0.500 1
Bi3 Bi 0.828 0.328 0.500 1


# 3
# PBE-GGA La3Tb5Er4, optimized geometry
# - total magnetic moment (μB per atom) = 0.0326
# - formation energy (eV/atom) = 0.266
# - Fermi-level density of states (states/eV per cell) = 17.03
# - polymorph energy (0 for the lowest one) (eV per atom) = 0.2394
# - SG = C2/m
# - total DFT energy (no corrections) (eV per atom) = -4.417
data_La3Tb5Er4
_chemical_formula_sum 'La3 Tb5 Er4'
_cell_length_a 9.385
_cell_length_b 9.385
_cell_length_c 8.777
_cell_angle_alpha 115.34
_cell_angle_beta 115.34
_cell_angle_gamma 35.74
_space_group_name_H-M_alt 'P 1'
_space_group_IT_number 1
loop_
_space_group_symop_operation_xyz
'x,y,z'
loop_
_atom_site_label
_atom_site_type_symbol
_atom_site_fract_x
_atom_site_fract_y
_atom_site_fract_z
_atom_site_occupancy
La1 La 0.000 0.000 0.000 1
La2 La 0.315 0.315 0.774 1
La3 La 0.685 0.685 0.226 1
Tb1 Tb 0.094 0.094 0.439 1
Tb2 Tb 0.161 0.161 0.888 1
Tb3 Tb 0.500 0.500 0.000 1
Tb4 Tb 0.839 0.839 0.112 1
Tb5 Tb 0.906 0.906 0.561 1
Er1 Er 0.293 0.293 0.353 1
Er2 Er 0.464 0.464 0.304 1
Er3 Er 0.536 0.536 0.696 1
Er4 Er 0.707 0.707 0.647 1


# 4
# PBE-GGA PaCdF, optimized geometry
# - uncorrected formation energy (meV/atom) = -1214
# - total magnetic moment (μB per atom) = 0.0000
# - Fermi-level density of states (states/eV per cell) = 6.34
# - SG = Amm2
# - total DFT energy (no corrections) (eV per atom) = -5.308
data_PaCdF
_chemical_formula_sum 'Pa2 Cd2 F2'
_cell_length_a 14.954
_cell_length_b 3.135
_cell_length_c 3.135
_cell_angle_alpha 60.00
_cell_angle_beta 90.00
_cell_angle_gamma 90.00
_space_group_name_H-M_alt 'P 1'
_space_group_IT_number 1
loop_
_space_group_symop_operation_xyz
'x,y,z'
loop_
_atom_site_label
_atom_site_type_symbol
_atom_site_fract_x
_atom_site_fract_y
_atom_site_fract_z
_atom_site_occupancy
Pa1 Pa 0.193 0.000 0.000 1
Pa2 Pa 0.807 0.000 0.000 1
Cd1 Cd 0.000 0.667 0.667 1
Cd2 Cd 0.500 0.673 0.673 1
F1 F 0.310 0.667 0.667 1
F2 F 0.690 0.667 0.667 1